(1)
Crystalline HfGaNi2H at its relaxed geometry, computed with PBE.

Unit cell a=4.2780 b=5.1126 c=4.2780 alpha=90.00 beta=90.00 gamma=90.00
Closest atoms and distances in Å follow each position.
Positions (direct):
Hf (0.0000, 0.5000, 0.0000)  2 Ga 2.56
H (0.5000, 0.5000, 0.5000)  4 Hf 3.02, 8 Ni 3.33
Ni (0.0000, 0.0000, 0.5000)  2 Ga 2.14
Ni (0.5000, 0.0000, 0.0000)  2 Ga 2.14
Ga (0.0000, 0.0000, 0.0000)  4 Ni 2.14

Results
Total magnetic moment (μB/cell): 1.1

=====

(2)
Crystalline HfGaNi2H at its relaxed geometry, computed with PBE.

Unit cell a=3.8792 b=3.8792 c=4.0077 alpha=90.00 beta=90.00 gamma=90.00
Closest atoms and distances in Å follow each position.
Positions (direct):
Ni (0.5000, 0.0000, 0.0000)  2 H 1.94
Ni (0.0000, 0.5000, 0.0000)  2 H 1.94
H (0.0000, 0.0000, 0.0000)  4 Ni 1.94, 2 Hf 2.00
Ga (0.5000, 0.5000, 0.5000)  4 Hf 2.74, 8 Ni 2.79
Hf (0.0000, 0.0000, 0.5000)  2 H 2.00

Results
Total magnetic moment (μB/cell): 0.0

=====

Which one sits at the top of the stability order? (2) does.

=====

(1)
Crystalline HfTi2GaH at its relaxed geometry, computed with PBE.

Unit cell a=4.1081 b=4.1081 c=4.2356 alpha=90.00 beta=90.00 gamma=90.00
Closest atoms and distances in Å follow each position.
Positions (direct):
Ga (0.5000, 0.5000, 0.5000)  4 Hf 2.90, 8 Ti 2.95
Hf (0.0000, 0.0000, 0.5000)  2 H 2.12
Ti (0.5000, 0.0000, 0.0000)  2 H 2.05
Ti (0.0000, 0.5000, 0.0000)  2 H 2.05
H (0.0000, 0.0000, 0.0000)  4 Ti 2.05, 2 Hf 2.12

Results
Total magnetic moment (μB/cell): 0.0

=====

(2)
Crystalline HfTi2GaH at its relaxed geometry, computed with PBE.

Unit cell a=3.9660 b=3.9660 c=4.6566 alpha=90.00 beta=90.00 gamma=90.00
Closest atoms and distances in Å follow each position.
Positions (direct):
Ga (0.0000, 0.0000, 0.5000)  2 H 2.33
Ti (0.0000, 0.5000, 0.0000)  2 H 1.98
Ti (0.5000, 0.0000, 0.0000)  2 H 1.98
H (0.0000, 0.0000, 0.0000)  4 Ti 1.98
Hf (0.5000, 0.5000, 0.5000)  4 Ga 2.80, 8 Ti 3.06

Results
Total magnetic moment (μB/cell): 0.8

=====

Which one sits at the top of the stability order? (1) does.

=====

(1)
Crystalline Ga3HgH at its relaxed geometry, computed with PBE.

Unit cell a=5.2806 b=5.2806 c=5.2806 alpha=90.00 beta=90.00 gamma=90.00
Closest atoms and distances in Å follow each position.
Positions (direct):
H (0.5000, 0.5000, 0.5000)  12 Ga 3.73
Ga (0.0000, 0.5000, 0.0000)  2 Hg 2.64
Ga (0.0000, 0.0000, 0.5000)  2 Hg 2.64
Ga (0.5000, 0.0000, 0.0000)  2 Hg 2.64
Hg (0.0000, 0.0000, 0.0000)  6 Ga 2.64

Results
Total magnetic moment (μB/cell): 0.0

=====

(2)
Crystalline Ga3HgH at its relaxed geometry, computed with PBE.

Unit cell a=4.4195 b=4.4195 c=4.4195 alpha=90.00 beta=90.00 gamma=90.00
Closest atoms and distances in Å follow each position.
Positions (direct):
Ga (0.5000, 0.0000, 0.0000)  2 H 2.21
Ga (0.0000, 0.5000, 0.0000)  2 H 2.21
Ga (0.0000, 0.0000, 0.5000)  2 H 2.21
Hg (0.5000, 0.5000, 0.5000)  12 Ga 3.13
H (0.0000, 0.0000, 0.0000)  6 Ga 2.21

Results
Total magnetic moment (μB/cell): 0.0

=====

Which one sits at the top of the stability order? (2) does.

=====

(1)
Crystalline GaHgH3 at its relaxed geometry, computed with PBE.

Unit cell a=3.8533 b=3.8533 c=3.8533 alpha=90.00 beta=90.00 gamma=90.00
Closest atoms and distances in Å follow each position.
Positions (direct):
Ga (0.0000, 0.0000, 0.0000)  6 H 1.93
H (0.0000, 0.5000, 0.0000)  2 Ga 1.93
H (0.0000, 0.0000, 0.5000)  2 Ga 1.93
H (0.5000, 0.0000, 0.0000)  2 Ga 1.93
Hg (0.5000, 0.5000, 0.5000)  12 H 2.72

Results
Total magnetic moment (μB/cell): 0.0

=====

(2)
Crystalline GaHgH3 at its relaxed geometry, computed with PBE.

Unit cell a=4.0045 b=4.0045 c=4.0045 alpha=90.00 beta=90.00 gamma=90.00
Closest atoms and distances in Å follow each position.
Positions (direct):
Hg (0.0000, 0.0000, 0.0000)  6 H 2.00
H (0.5000, 0.0000, 0.0000)  2 Hg 2.00
H (0.0000, 0.5000, 0.0000)  2 Hg 2.00
H (0.0000, 0.0000, 0.5000)  2 Hg 2.00
Ga (0.5000, 0.5000, 0.5000)  12 H 2.83

Results
Total magnetic moment (μB/cell): 0.0

=====

Which one sits at the top of the stability order? (1) does.

=====

(1)
Crystalline HoGaH at its relaxed geometry, computed with PBE.

Unit cell a=3.0955 b=3.0955 c=5.8535 alpha=105.33 beta=105.33 gamma=90.00
Closest atoms and distances in Å follow each position.
Positions (direct):
H (0.0621, 0.0621, 0.1242)  4 Ho 2.25
Ho (0.6085, 0.6085, 0.2170)  4 H 2.25
Ga (0.3294, 0.3294, 0.6589)  1 H 2.90, 5 Ho 3.03-3.25, 4 Ga 3.10

Results
Total magnetic moment (μB/cell): 0.0

=====

(2)
Crystalline HoGaH at its relaxed geometry, computed with PBE.

Unit cell a=3.9168 b=5.9614 c=16.7665 alpha=90.00 beta=90.00 gamma=90.00
Closest atoms and distances in Å follow each position.
Positions (direct):
H (0.5000, 0.0692, 0.9040)  3 Ho 2.19-2.27
H (0.0000, 0.5550, 0.8061)  4 Ho 2.27-2.43
H (0.5000, 0.4450, 0.3061)  4 Ho 2.27-2.43
H (0.0000, 0.9308, 0.5960)  3 Ho 2.19-2.27
H (0.5000, 0.0692, 0.0959)  3 Ho 2.19-2.27
H (0.5000, 0.4450, 0.6939)  4 Ho 2.27-2.43
H (0.0000, 0.9308, 0.4040)  3 Ho 2.19-2.27
H (0.0000, 0.5550, 0.1939)  4 Ho 2.27-2.43
Ga (0.0000, 0.3376, 0.0000)  2 Ga 2.59
Ga (0.5000, 0.8773, 0.2370)  2 Ga 2.48, 1 H 2.63
Ga (0.0000, 0.3782, 0.5000)  2 Ga 2.59
Ga (0.5000, 0.6624, 0.5000)  2 Ga 2.59
Ga (0.5000, 0.8773, 0.7630)  2 Ga 2.48, 1 H 2.63
Ga (0.5000, 0.6218, 0.0000)  2 Ga 2.59
Ga (0.0000, 0.1227, 0.2630)  2 Ga 2.48, 1 H 2.63
Ga (0.0000, 0.1227, 0.7370)  2 Ga 2.48, 1 H 2.63
Ho (0.5000, 0.1213, 0.6055)  3 H 2.27-2.43
Ho (0.0000, 0.6174, 0.6644)  4 H 2.19-2.40
Ho (0.5000, 0.1213, 0.3945)  3 H 2.27-2.43
Ho (0.0000, 0.8787, 0.8945)  3 H 2.27-2.43
Ho (0.5000, 0.3826, 0.8356)  4 H 2.19-2.40
Ho (0.0000, 0.6174, 0.3356)  4 H 2.19-2.40
Ho (0.5000, 0.3826, 0.1644)  4 H 2.19-2.40
Ho (0.0000, 0.8787, 0.1055)  3 H 2.27-2.43

Results
Total magnetic moment (μB/cell): 0.0

=====

Which one sits at the top of the stability order? (2) does.

=====

(1)
Crystalline GaH3I at its relaxed geometry, computed with PBE.

Unit cell a=3.9453 b=3.9453 c=3.9453 alpha=90.00 beta=90.00 gamma=90.00
Closest atoms and distances in Å follow each position.
Positions (direct):
H (0.5000, 0.0000, 0.0000)  2 Ga 1.97
H (0.0000, 0.5000, 0.0000)  2 Ga 1.97
H (0.0000, 0.0000, 0.5000)  2 Ga 1.97
I (0.5000, 0.5000, 0.5000)  12 H 2.79
Ga (0.0000, 0.0000, 0.0000)  6 H 1.97

Results
Total magnetic moment (μB/cell): 0.0

=====

(2)
Crystalline GaH3I at its relaxed geometry, computed with PBE.

Unit cell a=4.6873 b=9.8990 c=5.0985 alpha=101.09 beta=91.08 gamma=73.34
Closest atoms and distances in Å follow each position.
Positions (direct):
Ga (0.1191, 0.5764, 0.8211)  3 H 1.56-1.71
Ga (0.5781, 0.6502, 0.2640)  3 H 1.55-1.70
H (0.1298, 0.9379, 0.2208)  1 I 1.64
H (0.9735, 0.6758, 0.6222)  1 Ga 1.56
H (0.9105, 0.6336, 0.1137)  2 Ga 1.70-1.71
H (0.6031, 0.5109, 0.3693)  1 Ga 1.55
H (0.4398, 0.8132, 0.3771)  1 Ga 1.55
H (0.4144, 0.6252, 0.9511)  2 Ga 1.68-1.76
I (0.2300, 0.3092, 0.7045)  1 Ga 2.50
I (0.8579, 0.0315, 0.0639)  1 H 1.64

Results
Total magnetic moment (μB/cell): 0.0

=====

Which one sits at the top of the stability order? (2) does.

=====

(1)
Crystalline GaH3I at its relaxed geometry, computed with PBE.

Unit cell a=4.2039 b=4.2039 c=4.2039 alpha=90.00 beta=90.00 gamma=90.00
Closest atoms and distances in Å follow each position.
Positions (direct):
H (0.0000, 0.0000, 0.5000)  2 I 2.10
H (0.5000, 0.0000, 0.0000)  2 I 2.10
H (0.0000, 0.5000, 0.0000)  2 I 2.10
Ga (0.5000, 0.5000, 0.5000)  12 H 2.97
I (0.0000, 0.0000, 0.0000)  6 H 2.10

Results
Total magnetic moment (μB/cell): 0.0

=====

(2)
Crystalline GaH3I at its relaxed geometry, computed with PBE.

Unit cell a=6.8886 b=6.8886 c=6.8886 alpha=54.03 beta=54.03 gamma=54.03
Closest atoms and distances in Å follow each position.
Positions (direct):
I (0.2529, 0.2529, 0.2529)  1 Ga 2.63
I (0.7471, 0.7471, 0.7471)  1 Ga 2.63
H (0.2291, 0.2254, 0.7978)  1 Ga 1.59
H (0.7709, 0.7746, 0.2022)  1 Ga 1.59
H (0.7978, 0.2291, 0.2254)  1 Ga 1.59
H (0.2254, 0.7978, 0.2291)  1 Ga 1.59
H (0.7746, 0.2022, 0.7709)  1 Ga 1.59
H (0.2022, 0.7709, 0.7746)  1 Ga 1.59
Ga (0.1032, 0.1032, 0.1032)  3 H 1.59
Ga (0.8968, 0.8968, 0.8968)  3 H 1.59

Results
Total magnetic moment (μB/cell): 0.0

=====

Which one sits at the top of the stability order? (2) does.

=====

(1)
Crystalline GaHI2 at its relaxed geometry, computed with PBE.

Unit cell a=7.1707 b=7.1707 c=6.8020 alpha=58.19 beta=58.19 gamma=90.00
Closest atoms and distances in Å follow each position.
Positions (direct):
Ga (0.0000, 0.0000, 0.0000)  4 I 3.24
Ga (0.7500, 0.2500, 0.5000)  4 I 3.24
I (0.3750, 0.4669, 0.7500)  2 H 2.40
I (0.2169, 0.6250, 0.2500)  2 H 2.40
I (0.5331, 0.1250, 0.2500)  2 H 2.40
I (0.8750, 0.7831, 0.7500)  2 H 2.40
H (0.5000, 0.5000, 0.0000)  4 I 2.40
H (0.2500, 0.7500, 0.5000)  4 I 2.40

Results
Total magnetic moment (μB/cell): 0.0

=====

(2)
Crystalline GaHI2 at its relaxed geometry, computed with PBE.

Unit cell a=4.1457 b=6.9365 c=5.8188 alpha=102.16 beta=110.95 gamma=90.06
Closest atoms and distances in Å follow each position.
Positions (direct):
Ga (0.6137, 0.4483, 0.4848)  1 H 1.55
I (0.1457, 0.2068, 0.5492)  2 Ga 2.74
I (0.8009, 0.7401, 0.8569)  1 Ga 2.52
H (0.4737, 0.4651, 0.2055)  1 Ga 1.55

Results
Total magnetic moment (μB/cell): 0.0

=====

(3)
Crystalline GaHI2 at its relaxed geometry, computed with PBE.

Unit cell a=5.3141 b=5.3141 c=5.3141 alpha=60.00 beta=60.00 gamma=60.00
Closest atoms and distances in Å follow each position.
Positions (direct):
I (0.2500, 0.2500, 0.2500)  4 H 3.25, 4 Ga 3.25
I (0.7500, 0.7500, 0.7500)  4 Ga 3.25, 4 H 3.25
H (0.0000, 0.0000, 0.0000)  8 I 3.25
Ga (0.5000, 0.5000, 0.5000)  8 I 3.25

Results
Total magnetic moment (μB/cell): 0.1

=====

Which one sits at the top of the stability order? (2) does.

=====

(1)
Crystalline Ga2HI8 at its relaxed geometry, computed with PBE.

Unit cell a=8.4174 b=8.9215 c=8.9215 alpha=58.85 beta=105.21 gamma=105.21
Closest atoms and distances in Å follow each position.
Positions (direct):
I (0.2985, 0.3734, 0.3734)  1 Ga 2.51
I (0.1519, 0.8980, 0.3171)  1 H 2.55, 1 Ga 2.63
I (0.8481, 0.1020, 0.6829)  1 H 2.55, 1 Ga 2.63
I (0.3699, 0.7877, 0.7877)  1 Ga 2.57
I (0.6301, 0.2123, 0.2123)  1 Ga 2.57
I (0.1519, 0.3171, 0.8980)  1 H 2.55, 1 Ga 2.63
I (0.8481, 0.6829, 0.1020)  1 H 2.55, 1 Ga 2.63
I (0.7015, 0.6266, 0.6266)  1 Ga 2.51
Ga (0.6730, 0.7830, 0.7830)  4 I 2.51-2.63
Ga (0.3270, 0.2170, 0.2170)  4 I 2.51-2.63
H (0.0000, 0.0000, 0.0000)  4 I 2.55

Results
Total magnetic moment (μB/cell): 0.0

=====

(2)
Crystalline Ga2HI8 at its relaxed geometry, computed with PBE.

Unit cell a=6.9298 b=9.6517 c=9.6517 alpha=95.07 beta=101.05 gamma=101.05
Closest atoms and distances in Å follow each position.
Positions (direct):
H (0.0000, 0.0000, 0.0000)  2 Ga 1.71
Ga (0.8298, 0.8756, 0.8756)  1 H 1.71
Ga (0.1702, 0.1244, 0.1244)  1 H 1.71
I (0.7078, 0.5553, 0.5553)  2 I 2.83-3.11
I (0.2922, 0.4447, 0.4447)  2 I 2.83-3.11
I (0.0820, 0.7548, 0.7548)  1 Ga 2.66
I (0.6437, 0.0120, 0.7051)  1 Ga 2.51
I (0.3563, 0.9880, 0.2949)  1 Ga 2.51
I (0.6437, 0.7051, 0.0120)  1 Ga 2.51
I (0.9180, 0.2452, 0.2452)  1 Ga 2.66
I (0.3563, 0.2949, 0.9880)  1 Ga 2.51

Results
Total magnetic moment (μB/cell): 0.9

=====

Which one sits at the top of the stability order? (2) does.

=====

(1)
Crystalline GaHIN2 at its relaxed geometry, computed with PBE.

Unit cell a=3.7301 b=3.7301 c=7.7256 alpha=90.00 beta=90.00 gamma=90.00
Closest atoms and distances in Å follow each position.
Positions (direct):
H (0.5000, 0.5000, 0.5000)  4 I 2.64
I (0.0000, 0.0000, 0.5000)  4 H 2.64
N (0.5000, 0.0000, 0.0000)  2 Ga 1.87
N (0.0000, 0.5000, 0.0000)  2 Ga 1.87
Ga (0.0000, 0.0000, 0.0000)  4 N 1.87

Results
Total magnetic moment (μB/cell): 2.2

=====

(2)
Crystalline GaHIN2 at its relaxed geometry, computed with PBE.

Unit cell a=4.9069 b=4.9069 c=3.8592 alpha=90.00 beta=90.00 gamma=90.00
Closest atoms and distances in Å follow each position.
Positions (direct):
H (0.0000, 0.0000, 0.0000)  2 I 1.93
N (0.5000, 0.0000, 0.0000)  2 H 2.45
N (0.0000, 0.5000, 0.0000)  2 H 2.45
I (0.0000, 0.0000, 0.5000)  2 H 1.93
Ga (0.5000, 0.5000, 0.5000)  8 N 3.12, 4 I 3.47

Results
Total magnetic moment (μB/cell): 5.2

=====

Which one sits at the top of the stability order? (1) does.

=====

(1)
Crystalline GaHIO2 at its relaxed geometry, computed with PBE.

Unit cell a=3.6539 b=3.6539 c=7.1575 alpha=90.00 beta=90.00 gamma=90.00
Closest atoms and distances in Å follow each position.
Positions (direct):
I (0.0000, 0.0000, 0.5000)  4 H 2.58
O (0.5000, 0.0000, 0.0000)  2 Ga 1.83
O (0.0000, 0.5000, 0.0000)  2 Ga 1.83
Ga (0.0000, 0.0000, 0.0000)  4 O 1.83
H (0.5000, 0.5000, 0.5000)  4 I 2.58

Results
Total magnetic moment (μB/cell): 1.0

=====

(2)
Crystalline GaHIO2 at its relaxed geometry, computed with PBE.

Unit cell a=4.3225 b=4.3225 c=3.4692 alpha=90.00 beta=90.00 gamma=90.00
Closest atoms and distances in Å follow each position.
Positions (direct):
O (0.5000, 0.0000, 0.0000)  2 H 2.16
O (0.0000, 0.5000, 0.0000)  2 H 2.16
Ga (0.5000, 0.5000, 0.5000)  8 O 2.77, 4 I 3.06
H (0.0000, 0.0000, 0.0000)  2 I 1.73
I (0.0000, 0.0000, 0.5000)  2 H 1.73

Results
Total magnetic moment (μB/cell): 0.0

=====

Which one sits at the top of the stability order? (1) does.

=====

(1)
Crystalline InGa2H at its relaxed geometry, computed with PBE.

Unit cell a=4.9768 b=4.9768 c=7.0836 alpha=69.43 beta=69.43 gamma=90.00
Closest atoms and distances in Å follow each position.
Positions (direct):
In (0.7500, 0.2500, 0.5000)  4 Ga 2.82
In (0.0000, 0.0000, 0.0000)  4 Ga 2.82
H (0.2500, 0.7500, 0.5000)  4 Ga 2.03
H (0.5000, 0.5000, 0.0000)  4 Ga 2.03
Ga (0.4698, 0.1250, 0.2500)  2 H 2.03
Ga (0.2802, 0.6250, 0.2500)  2 H 2.03
Ga (0.3750, 0.5302, 0.7500)  2 H 2.03
Ga (0.8750, 0.7198, 0.7500)  2 H 2.03

Results
Total magnetic moment (μB/cell): 0.0

=====

(2)
Crystalline InGa2H at its relaxed geometry, computed with PBE.

Unit cell a=3.1714 b=3.1714 c=8.4373 alpha=79.17 beta=79.17 gamma=60.00
Closest atoms and distances in Å follow each position.
Positions (direct):
In (0.0000, 0.0000, 0.0000)  2 Ga 2.91, 6 In 3.17
Ga (0.1176, 0.1176, 0.6472)  3 H 2.20
Ga (0.8824, 0.8824, 0.3528)  3 H 2.20
H (0.5000, 0.5000, 0.5000)  6 Ga 2.20

Results
Total magnetic moment (μB/cell): 0.0

=====

(3)
Crystalline InGa2H at its relaxed geometry, computed with PBE.

Unit cell a=4.6674 b=4.6674 c=4.6674 alpha=60.00 beta=60.00 gamma=60.00
Closest atoms and distances in Å follow each position.
Positions (direct):
In (0.5000, 0.5000, 0.5000)  8 Ga 2.86
H (0.0000, 0.0000, 0.0000)  8 Ga 2.86
Ga (0.7500, 0.7500, 0.7500)  4 In 2.86, 4 H 2.86
Ga (0.2500, 0.2500, 0.2500)  4 In 2.86, 4 H 2.86

Results
Total magnetic moment (μB/cell): 0.0

=====

Which one sits at the top of the stability order? (1) does.